A plane-wave DFT calculation with GGA-PBEsol was carried out for a relaxed structure of CrRhBr.

**Formation energy (no corrections)**: 1.25 eV per formula unit
**Spin magnetization**: 2.4 μB per formula unit

```
data_CrRhBr
_space_group_name_H-M_alt 'P 1'
_space_group_IT_number 1
_space_group_name_Hall 'P 1'
_cell_length_a 2.988
_cell_length_b 2.988
_cell_length_c 5.709
_cell_angle_alpha 105.17
_cell_angle_beta 105.17
_cell_angle_gamma 90.00
loop_
_atom_site_label
_atom_site_fract_x
_atom_site_fract_y
_atom_site_fract_z
_atom_site_occupancy
Br1 0.013 0.013 0.026 1
Rh1 0.309 0.309 0.619 1
Cr1 0.678 0.678 0.355 1
```